## i
! ZnGaBr3, optimized geometry, DFT GGA-PBE; values from VASP
! volume = 33.3 Å³ per atom
&SYSTEM
  ibrav = 0, nat = 20, ntyp = 3
/
ATOMIC_SPECIES
Zn 65.41 Zn.upf
Ga 69.72 Ga.upf
Br 79.90 Br.upf
CELL_PARAMETERS angstrom
7.067 0.000 0.000
0.000 14.384 0.000
0.000 0.000 6.555
ATOMIC_POSITIONS crystal
Zn 0.221 0.250 0.071
Zn 0.279 0.750 0.571
Zn 0.721 0.250 0.429
Zn 0.779 0.750 0.929
Ga 0.000 0.000 0.500
Ga 0.000 0.500 0.500
Ga 0.500 0.000 0.000
Ga 0.500 0.500 0.000
Br 0.078 0.250 0.420
Br 0.128 0.103 0.929
Br 0.128 0.397 0.929
Br 0.372 0.603 0.429
Br 0.372 0.897 0.429
Br 0.422 0.750 0.920
Br 0.578 0.250 0.080
Br 0.628 0.103 0.571
Br 0.628 0.397 0.571
Br 0.872 0.603 0.071
Br 0.872 0.897 0.071
Br 0.922 0.750 0.580

## ii
! ZnGaBr3, optimized geometry, DFT GGA-PBE; values from VASP
! volume = 28.4 Å³ per atom
&SYSTEM
  ibrav = 0, nat = 5, ntyp = 3
/
ATOMIC_SPECIES
Zn 65.41 Zn.upf
Ga 69.72 Ga.upf
Br 79.90 Br.upf
CELL_PARAMETERS angstrom
5.214 0.000 0.000
0.000 5.214 0.000
0.000 0.000 5.214
ATOMIC_POSITIONS crystal
Zn 0.000 0.000 0.000
Ga 0.500 0.500 0.500
Br 0.000 0.000 0.500
Br 0.000 0.500 0.000
Br 0.500 0.000 0.000

## iii
! ZnGaBr3, optimized geometry, DFT GGA-PBE; values from VASP
! volume = 35.1 Å³ per atom
&SYSTEM
  ibrav = 0, nat = 10, ntyp = 3
/
ATOMIC_SPECIES
Zn 65.41 Zn.upf
Ga 69.72 Ga.upf
Br 79.90 Br.upf
CELL_PARAMETERS angstrom
4.081 0.000 0.000
0.000 12.535 3.431
0.000 -12.535 3.431
ATOMIC_POSITIONS crystal
Zn 0.250 0.115 0.885
Zn 0.750 0.885 0.115
Ga 0.250 0.377 0.720
Ga 0.750 0.720 0.377
Br 0.250 0.082 0.671
Br 0.250 0.441 0.244
Br 0.250 0.774 0.919
Br 0.750 0.244 0.441
Br 0.750 0.671 0.082
Br 0.750 0.919 0.774

Most stable structure: iii

## i
! ZnGaBr2, optimized geometry, DFT GGA-PBE; values from VASP
! volume = 33.8 Å³ per atom
&SYSTEM
  ibrav = 0, nat = 4, ntyp = 3
/
ATOMIC_SPECIES
Zn 65.41 Zn.upf
Ga 69.72 Ga.upf
Br 79.90 Br.upf
CELL_PARAMETERS angstrom
2.091 1.207 8.916
-2.091 1.207 8.916
0.000 -2.415 8.916
ATOMIC_POSITIONS crystal
Zn 0.000 0.000 0.000
Ga 0.500 0.500 0.500
Br 0.094 0.094 0.094
Br 0.906 0.906 0.906

## ii
! ZnGaBr2, optimized geometry, DFT GGA-PBE; values from VASP
! volume = 25.2 Å³ per atom
&SYSTEM
  ibrav = 0, nat = 4, ntyp = 3
/
ATOMIC_SPECIES
Zn 65.41 Zn.upf
Ga 69.72 Ga.upf
Br 79.90 Br.upf
CELL_PARAMETERS angstrom
0.000 3.695 3.695
3.695 0.000 3.695
3.695 3.695 0.000
ATOMIC_POSITIONS crystal
Zn 0.000 0.000 0.000
Ga 0.500 0.500 0.500
Br 0.250 0.250 0.250
Br 0.750 0.750 0.750

## iii
! ZnGaBr2, optimized geometry, DFT GGA-PBE; values from VASP
! volume = 36.8 Å³ per atom
&SYSTEM
  ibrav = 0, nat = 8, ntyp = 3
/
ATOMIC_SPECIES
Zn 65.41 Zn.upf
Ga 69.72 Ga.upf
Br 79.90 Br.upf
CELL_PARAMETERS angstrom
-3.116 3.116 7.574
3.116 -3.116 7.574
3.116 3.116 -7.574
ATOMIC_POSITIONS crystal
Zn 0.000 0.000 0.000
Zn 0.750 0.250 0.500
Ga 0.250 0.750 0.500
Ga 0.500 0.500 0.000
Br 0.067 0.625 0.942
Br 0.375 0.317 0.442
Br 0.683 0.125 0.058
Br 0.875 0.933 0.558

Most stable structure: iii

## i
! ZrGa3Br, optimized geometry, DFT GGA-PBE; values from VASP
! volume = 25.8 Å³ per atom
&SYSTEM
  ibrav = 0, nat = 5, ntyp = 3
/
ATOMIC_SPECIES
Zr 91.22 Zr.upf
Ga 69.72 Ga.upf
Br 79.90 Br.upf
CELL_PARAMETERS angstrom
5.056 0.000 0.000
0.000 5.056 0.000
0.000 0.000 5.056
ATOMIC_POSITIONS crystal
Zr 0.000 0.000 0.000
Ga 0.000 0.500 0.500
Ga 0.500 0.000 0.500
Ga 0.500 0.500 0.000
Br 0.500 0.500 0.500

## ii
! ZrGa3Br, optimized geometry, DFT GGA-PBE; values from VASP
! volume = 32.1 Å³ per atom
&SYSTEM
  ibrav = 0, nat = 5, ntyp = 3
/
ATOMIC_SPECIES
Zr 91.22 Zr.upf
Ga 69.72 Ga.upf
Br 79.90 Br.upf
CELL_PARAMETERS angstrom
5.437 0.000 0.000
0.000 5.437 0.000
0.000 0.000 5.437
ATOMIC_POSITIONS crystal
Zr 0.000 0.000 0.000
Ga 0.000 0.000 0.500
Ga 0.000 0.500 0.000
Ga 0.500 0.000 0.000
Br 0.500 0.500 0.500

Most stable structure: ii

## i
! Zr2GaBr, optimized geometry, DFT GGA-PBE; values from VASP
! volume = 20.2 Å³ per atom
&SYSTEM
  ibrav = 0, nat = 4, ntyp = 3
/
ATOMIC_SPECIES
Zr 91.22 Zr.upf
Ga 69.72 Ga.upf
Br 79.90 Br.upf
CELL_PARAMETERS angstrom
0.000 3.431 3.431
3.431 0.000 3.431
3.431 3.431 0.000
ATOMIC_POSITIONS crystal
Zr 0.250 0.250 0.250
Zr 0.750 0.750 0.750
Ga 0.000 0.000 0.000
Br 0.500 0.500 0.500

## ii
! Zr2GaBr, optimized geometry, DFT GGA-PBE; values from VASP
! volume = 28.3 Å³ per atom
&SYSTEM
  ibrav = 0, nat = 8, ntyp = 3
/
ATOMIC_SPECIES
Zr 91.22 Zr.upf
Ga 69.72 Ga.upf
Br 79.90 Br.upf
CELL_PARAMETERS angstrom
-2.949 2.949 6.507
2.949 -2.949 6.507
2.949 2.949 -6.507
ATOMIC_POSITIONS crystal
Zr 0.103 0.625 0.978
Zr 0.375 0.353 0.478
Zr 0.647 0.125 0.022
Zr 0.875 0.897 0.522
Ga 0.000 0.000 0.000
Ga 0.750 0.250 0.500
Br 0.250 0.750 0.500
Br 0.500 0.500 0.000

Most stable structure: i

## i
! ZrGaBr2, optimized geometry, DFT GGA-PBE; values from VASP
! volume = 32.4 Å³ per atom
&SYSTEM
  ibrav = 0, nat = 8, ntyp = 3
/
ATOMIC_SPECIES
Zr 91.22 Zr.upf
Ga 69.72 Ga.upf
Br 79.90 Br.upf
CELL_PARAMETERS angstrom
-4.810 4.810 2.804
4.810 -4.810 2.804
4.810 4.810 -2.804
ATOMIC_POSITIONS crystal
Zr 0.000 0.000 0.000
Zr 0.750 0.250 0.500
Ga 0.250 0.750 0.500
Ga 0.500 0.500 0.000
Br 0.375 0.021 0.146
Br 0.771 0.625 0.646
Br 0.875 0.229 0.854
Br 0.979 0.125 0.354

## ii
! ZrGaBr2, optimized geometry, DFT GGA-PBE; values from VASP
! volume = 21.8 Å³ per atom
&SYSTEM
  ibrav = 0, nat = 4, ntyp = 3
/
ATOMIC_SPECIES
Zr 91.22 Zr.upf
Ga 69.72 Ga.upf
Br 79.90 Br.upf
CELL_PARAMETERS angstrom
0.000 3.518 3.518
3.518 0.000 3.518
3.518 3.518 0.000
ATOMIC_POSITIONS crystal
Zr 0.000 0.000 0.000
Ga 0.500 0.500 0.500
Br 0.250 0.250 0.250
Br 0.750 0.750 0.750

## iii
! ZrGaBr2, optimized geometry, DFT GGA-PBE; values from VASP
! volume = 26.2 Å³ per atom
&SYSTEM
  ibrav = 0, nat = 4, ntyp = 3
/
ATOMIC_SPECIES
Zr 91.22 Zr.upf
Ga 69.72 Ga.upf
Br 79.90 Br.upf
CELL_PARAMETERS angstrom
1.713 0.989 10.314
-1.713 0.989 10.314
0.000 -1.979 10.314
ATOMIC_POSITIONS crystal
Zr 0.000 0.000 0.000
Ga 0.500 0.500 0.500
Br 0.397 0.397 0.397
Br 0.603 0.603 0.603

Most stable structure: iii

## i
! GdH2Br, optimized geometry, DFT GGA-PBE; values from VASP
! volume = 15.3 Å³ per atom
&SYSTEM
  ibrav = 0, nat = 4, ntyp = 3
/
ATOMIC_SPECIES
Gd 157.25 Gd.upf
H 1.01 H.upf
Br 79.90 Br.upf
CELL_PARAMETERS angstrom
3.202 0.000 0.000
0.000 3.202 0.000
0.000 0.000 5.981
ATOMIC_POSITIONS crystal
Gd 0.000 0.000 0.000
H 0.500 0.500 0.159
H 0.500 0.500 0.841
Br 0.000 0.000 0.500

## ii
! GdH2Br, optimized geometry, DFT GGA-PBE; values from VASP
! volume = 15.0 Å³ per atom
&SYSTEM
  ibrav = 0, nat = 4, ntyp = 3
/
ATOMIC_SPECIES
Gd 157.25 Gd.upf
H 1.01 H.upf
Br 79.90 Br.upf
CELL_PARAMETERS angstrom
1.885 1.088 4.879
-1.885 1.088 4.879
0.000 -2.176 4.879
ATOMIC_POSITIONS crystal
Gd 0.000 0.000 0.000
H 0.306 0.306 0.306
H 0.694 0.694 0.694
Br 0.500 0.500 0.500

Most stable structure: ii

## i
! GdIBr, optimized geometry, DFT GGA-PBE; values from VASP
! volume = 34.5 Å³ per atom
&SYSTEM
  ibrav = 0, nat = 3, ntyp = 3
/
ATOMIC_SPECIES
Gd 157.25 Gd.upf
I 126.90 I.upf
Br 79.90 Br.upf
CELL_PARAMETERS angstrom
0.000 3.727 3.727
3.727 0.000 3.727
3.727 3.727 0.000
ATOMIC_POSITIONS crystal
Gd 0.000 0.000 0.000
I 0.250 0.250 0.250
Br 0.750 0.750 0.750

## ii
! GdIBr, optimized geometry, DFT GGA-PBE; values from VASP
! volume = 38.0 Å³ per atom
&SYSTEM
  ibrav = 0, nat = 3, ntyp = 3
/
ATOMIC_SPECIES
Gd 157.25 Gd.upf
I 126.90 I.upf
Br 79.90 Br.upf
CELL_PARAMETERS angstrom
4.135 0.000 0.000
-2.067 3.581 0.000
0.000 0.000 7.697
ATOMIC_POSITIONS crystal
Gd 0.000 0.000 0.000
I 0.333 0.667 0.740
Br 0.667 0.333 0.227

Most stable structure: ii

## i
! Na3GdBr6, optimized geometry, DFT GGA-PBE; values from VASP
! volume = 32.4 Å³ per atom
&SYSTEM
  ibrav = 0, nat = 10, ntyp = 3
/
ATOMIC_SPECIES
Na 22.99 Na.upf
Gd 157.25 Gd.upf
Br 79.90 Br.upf
CELL_PARAMETERS angstrom
3.729 2.153 6.725
-3.729 2.153 6.725
0.000 -4.306 6.725
ATOMIC_POSITIONS crystal
Na 0.000 0.000 0.000
Na 0.197 0.197 0.197
Na 0.493 0.493 0.493
Gd 0.689 0.689 0.689
Br 0.070 0.426 0.794
Br 0.302 0.901 0.597
Br 0.426 0.794 0.070
Br 0.597 0.302 0.901
Br 0.794 0.070 0.426
Br 0.901 0.597 0.302

## ii
! Na3GdBr6, optimized geometry, DFT GGA-PBE; values from VASP
! volume = 31.2 Å³ per atom
&SYSTEM
  ibrav = 0, nat = 20, ntyp = 3
/
ATOMIC_SPECIES
Na 22.99 Na.upf
Gd 157.25 Gd.upf
Br 79.90 Br.upf
CELL_PARAMETERS angstrom
7.332 0.000 0.000
0.000 7.796 0.000
-7.185 0.000 10.932
ATOMIC_POSITIONS crystal
Na 0.000 0.000 0.000
Na 0.000 0.500 0.500
Na 0.207 0.081 0.735
Na 0.207 0.419 0.235
Na 0.793 0.581 0.765
Na 0.793 0.919 0.265
Gd 0.500 0.000 0.500
Gd 0.500 0.500 0.000
Br 0.118 0.181 0.436
Br 0.118 0.319 0.936
Br 0.246 0.694 0.416
Br 0.246 0.806 0.916
Br 0.405 0.069 0.261
Br 0.405 0.431 0.761
Br 0.595 0.569 0.239
Br 0.595 0.931 0.739
Br 0.754 0.194 0.084
Br 0.754 0.306 0.584
Br 0.882 0.681 0.064
Br 0.882 0.819 0.564

Most stable structure: i

## i
! Nd2GdBr, optimized geometry, DFT GGA-PBE; values from VASP
! volume = 31.8 Å³ per atom
&SYSTEM
  ibrav = 0, nat = 4, ntyp = 3
/
ATOMIC_SPECIES
Nd 144.24 Nd.upf
Gd 157.25 Gd.upf
Br 79.90 Br.upf
CELL_PARAMETERS angstrom
1.864 1.076 10.581
-1.864 1.076 10.581
0.000 -2.152 10.581
ATOMIC_POSITIONS crystal
Nd 0.242 0.242 0.242
Nd 0.758 0.758 0.758
Gd 0.000 0.000 0.000
Br 0.500 0.500 0.500

## ii
! Nd2GdBr, optimized geometry, DFT GGA-PBE; values from VASP
! volume = 31.6 Å³ per atom
&SYSTEM
  ibrav = 0, nat = 4, ntyp = 3
/
ATOMIC_SPECIES
Nd 144.24 Nd.upf
Gd 157.25 Gd.upf
Br 79.90 Br.upf
CELL_PARAMETERS angstrom
3.605 0.000 0.000
0.000 3.605 0.000
0.000 0.000 9.715
ATOMIC_POSITIONS crystal
Nd 0.000 0.000 0.234
Nd 0.000 0.000 0.766
Gd 0.500 0.500 0.500
Br 0.500 0.500 0.000

Most stable structure: i

## i
! Gd2OsBr, optimized geometry, DFT GGA-PBE; values from VASP
! volume = 23.9 Å³ per atom
&SYSTEM
  ibrav = 0, nat = 4, ntyp = 3
/
ATOMIC_SPECIES
Gd 157.25 Gd.upf
Os 190.23 Os.upf
Br 79.90 Br.upf
CELL_PARAMETERS angstrom
3.409 0.000 0.000
0.000 3.409 0.000
0.000 0.000 8.215
ATOMIC_POSITIONS crystal
Gd 0.000 0.000 0.208
Gd 0.000 0.000 0.792
Os 0.500 0.500 0.000
Br 0.500 0.500 0.500

## ii
! Gd2OsBr, optimized geometry, DFT GGA-PBE; values from VASP
! volume = 27.1 Å³ per atom
&SYSTEM
  ibrav = 0, nat = 4, ntyp = 3
/
ATOMIC_SPECIES
Gd 157.25 Gd.upf
Os 190.23 Os.upf
Br 79.90 Br.upf
CELL_PARAMETERS angstrom
2.025 1.169 7.639
-2.025 1.169 7.639
0.000 -2.338 7.639
ATOMIC_POSITIONS crystal
Gd 0.232 0.232 0.232
Gd 0.768 0.768 0.768
Os 0.500 0.500 0.500
Br 0.000 0.000 0.000

Most stable structure: i

## i
! PmGd2Br, optimized geometry, DFT GGA-PBE; values from VASP
! volume = 30.6 Å³ per atom
&SYSTEM
  ibrav = 0, nat = 4, ntyp = 3
/
ATOMIC_SPECIES
Pm 145.00 Pm.upf
Gd 157.25 Gd.upf
Br 79.90 Br.upf
CELL_PARAMETERS angstrom
1.849 1.067 10.341
-1.849 1.067 10.341
0.000 -2.135 10.341
ATOMIC_POSITIONS crystal
Pm 0.000 0.000 0.000
Gd 0.242 0.242 0.242
Gd 0.758 0.758 0.758
Br 0.500 0.500 0.500

## ii
! PmGd2Br, optimized geometry, DFT GGA-PBE; values from VASP
! volume = 30.9 Å³ per atom
&SYSTEM
  ibrav = 0, nat = 4, ntyp = 3
/
ATOMIC_SPECIES
Pm 145.00 Pm.upf
Gd 157.25 Gd.upf
Br 79.90 Br.upf
CELL_PARAMETERS angstrom
3.580 0.000 0.000
0.000 3.580 0.000
0.000 0.000 9.641
ATOMIC_POSITIONS crystal
Pm 0.000 0.000 0.000
Gd 0.500 0.500 0.263
Gd 0.500 0.500 0.737
Br 0.000 0.000 0.500

Most stable structure: i